1.
DFT (PBE) results for a relaxed La2ZnRh crystal.

It has space group I-4m2 (No. 119), with a = 4.9730 Å, b = 4.9730 Å, c = 7.0559 Å, α = 90.00°, β = 90.00° and γ = 90.00°. The asymmetric unit holds La at (0.0000, 0.0000, 0.0000), La at (0.0000, 0.5000, 0.2500), Zn at (0.0000, 0.0000, 0.5000) and Rh at (0.0000, 0.5000, 0.7500).

Its calculated formation energy is -371 meV/atom.


2.
DFT (PBE) results for a relaxed Cs3Sn2PbBr9 crystal.

It has space group P-3m1 (No. 164), with a = 8.3802 Å, b = 8.3802 Å, c = 10.2523 Å, α = 90.00°, β = 90.00° and γ = 120.00°. The asymmetric unit holds Cs at (0.0000, 0.0000, 0.0000), Cs at (0.3333, 0.6667, 0.6662), Sn at (0.3333, 0.6667, 0.1638), Pb at (0.0000, 0.0000, 0.5000), Br at (0.0000, 0.5000, 0.0000) and Br at (0.1687, 0.3373, 0.3308).

The formation energy (no corrections) is -1.244 eV/atom.


3.
DFT (PBE) results for a relaxed Tb6PrTm4 crystal.

It has space group Cmcm (No. 63), with a = 5.6959 Å, b = 9.6300 Å, c = 25.6484 Å, α = 90.00°, β = 90.00° and γ = 90.00°. The asymmetric unit holds Tb at (0.0000, 0.0000, 0.0000), Tb at (0.0000, 0.0243, 0.2500), Tb at (0.0000, 0.3102, 0.6002), Tb at (0.0000, 0.3589, 0.1801), Pr at (0.0000, 0.3102, 0.7500), Tm at (0.0000, 0.0285, 0.1217) and Tm at (0.0000, 0.3430, 0.0423).

Its calculated formation energy is 122 meV/atom. As for the energy above the lowest structure with this stoichiometry: 0.0 meV per atom.


4.
DFT (PBE) results for a relaxed RbNbCr3 crystal.

It has space group Pm-3m (No. 221), with a = 5.0456 Å, b = 5.0456 Å, c = 5.0456 Å, α = 90.00°, β = 90.00° and γ = 90.00°. The asymmetric unit holds Rb at (0.0000, 0.0000, 0.0000), Nb at (0.5000, 0.5000, 0.5000) and Cr at (0.0000, 0.5000, 0.5000).

Its calculated formation energy is 1492 meV/atom. As for the energy above the lowest structure with this stoichiometry: 0.0 meV per atom.


no.,uncorrected energy (eV per atom),calculated density (g/cm³)
1,-4.991,8.49
2,-3.199,4.16
3,-4.464,8.36
4,-6.490,4.32